1.
AcSnHg6 | PBE-GGA | relaxed

As for the electronic total energy: -11.6 eV/f.u. The spin magnetization is 0.00 μB per cell. As for the energy above the lowest structure with this stoichiometry: 0.000 eV/atom. As for the theoretical density: 11.7 g cm⁻³. Its formation energy from the elements is -206 meV/atom.

The structure belongs to space group P-1 (No. 2); the cell edges are 5.370, 6.184 and 7.522 Å and the angles 72.88°, 89.84° and 68.15°. Symmetry generates all atoms from Ac at (0.000, 0.000, 0.000), Sn at (0.000, 0.000, 0.500), Hg at (0.248, 0.499, 0.384), Hg at (0.275, 0.462, 0.872) and Hg at (0.495, 0.014, 0.274).



2.
Li2TbAl2Hg2 | PBE-GGA | relaxed

As for the electronic total energy: -18.8 eV/f.u. The spin magnetization is 0.00 μB per cell. As for the theoretical density: 7.6 g cm⁻³. Its formation energy from the elements is -322 meV/atom.

The structure belongs to space group C2/m (No. 12); the cell edges are 7.946, 4.658 and 7.987 Å and the angles 90.00°, 111.13° and 90.00°. Symmetry generates all atoms from Li at (0.147, 0.000, 0.427), Tb at (0.000, 0.000, 0.000), Al at (0.065, 0.500, 0.704) and Hg at (0.242, 0.500, 0.216).



3.
MnCd2Br | PBE-GGA | relaxed

As for the electronic total energy: -12.3 eV/f.u. The spin magnetization is 12.52 μB per cell. As for the energy above the lowest structure with this stoichiometry: 0.088 eV/atom. The calculation puts the raw formation energy at 101 meV per atom. As for the theoretical density: 6.4 g cm⁻³.

The structure belongs to space group R-3m (No. 166, hexagonal axes); the cell edges are 3.5523, 3.5523 and 25.5820 Å and the angles 90.00°, 90.00° and 120.00°. Symmetry generates all atoms from Mn at (0.0000, 0.0000, 0.0000), Cd at (0.0000, 0.0000, 0.2548) and Br at (0.0000, 0.0000, 0.5000).



4.
FeNiSbPd | PBE-GGA | relaxed

As for the electronic total energy: -23.7 eV/f.u. The spin magnetization is 10.40 μB per cell. The calculation puts the raw formation energy at -46 meV per atom. As for the theoretical density: 9.7 g cm⁻³.

The structure belongs to space group F-43m (No. 216); the cell edges are 6.168, 6.168 and 6.168 Å and the angles 90.00°, 90.00° and 90.00°. Symmetry generates all atoms from Fe at (0.000, 0.000, 0.000), Ni at (0.000, 0.000, 0.500), Sb at (0.250, 0.250, 0.250) and Pd at (0.250, 0.250, 0.750).



5.
Dy8Te4As3Pb | PBE-GGA | relaxed

As for the electronic total energy: -88.5 eV/f.u. The spin magnetization is 0.00 μB per cell. The calculation puts the raw formation energy at -1340 meV per atom. As for the theoretical density: 8.3 g cm⁻³.

The structure belongs to space group R-3m (No. 166, hexagonal axes); the cell edges are 8.5256, 8.5256 and 21.2625 Å and the angles 90.00°, 90.00° and 120.00°. Symmetry generates all atoms from Dy at (0.0000, 0.0000, 0.2390), Dy at (0.0106, 0.5053, 0.7582), Te at (0.0000, 0.0000, 0.0000), Te at (0.0000, 0.5000, 0.0000), As at (0.0000, 0.5000, 0.5000) and Pb at (0.0000, 0.0000, 0.5000).



6.
Er2Co15Ni2 | PBE-GGA | relaxed

As for the electronic total energy: -129.4 eV/f.u. The spin magnetization is 69.26 μB per cell. As for the theoretical density: 9.3 g cm⁻³. Its formation energy from the elements is -110 meV/atom.

The structure belongs to space group R-3m (No. 166, hexagonal axes); the cell edges are 8.2969, 8.2969 and 12.0276 Å and the angles 90.00°, 90.00° and 120.00°. Symmetry generates all atoms from Er at (0.0000, 0.0000, 0.1585), Co at (0.0000, 0.2876, 0.5000), Co at (0.0000, 0.5000, 0.0000), Co at (0.9999, 0.4999, 0.3475) and Ni at (0.0000, 0.0000, 0.3982).



7.
MnBe2Cl | PBE-GGA | relaxed

As for the electronic total energy: -17.5 eV/f.u. The spin magnetization is 3.92 μB per cell. As for the energy above the lowest structure with this stoichiometry: 0.182 eV/atom. The calculation puts the raw formation energy at 252 meV per atom. As for the theoretical density: 2.9 g cm⁻³.

The structure belongs to space group P4mm (No. 99); the cell edges are 2.866, 2.866 and 7.540 Å and the angles 90.00°, 90.00° and 90.00°. Symmetry generates all atoms from Mn at (0.000, 0.000, 0.000), Be at (0.000, 0.000, 0.335), Be at (0.500, 0.500, 0.215) and Cl at (0.500, 0.500, 0.796).



8.
Ho6Tl5Sn | PBE-GGA | relaxed

As for the electronic total energy: -46.9 eV/f.u. The spin magnetization is 0.00 μB per cell. As for the energy above the lowest structure with this stoichiometry: 0.070 eV/atom. As for the theoretical density: 10.2 g cm⁻³. Its formation energy from the elements is -299 meV/atom.

The structure belongs to space group C2/m (No. 12); the cell edges are 6.496, 11.073 and 9.808 Å and the angles 90.00°, 101.93° and 90.00°. Symmetry generates all atoms from Ho at (0.245, 0.000, 0.250), Ho at (0.248, 0.165, 0.749), Tl at (0.000, 0.168, 0.000), Tl at (0.000, 0.334, 0.500), Tl at (0.000, 0.500, 0.000) and Sn at (0.000, 0.000, 0.500).



9.
PrMgZn2 | PBE-GGA | relaxed

As for the electronic total energy: -9.7 eV/f.u. The spin magnetization is 0.00 μB per cell. As for the energy above the lowest structure with this stoichiometry: 0.145 eV/atom. As for the theoretical density: 5.4 g cm⁻³. Its formation energy from the elements is -187 meV/atom.

The structure belongs to space group P4/mmm (No. 123); the cell edges are 4.915, 4.915 and 3.761 Å and the angles 90.00°, 90.00° and 90.00°. Symmetry generates all atoms from Pr at (0.000, 0.000, 0.000), Mg at (0.500, 0.500, 0.000) and Zn at (0.000, 0.500, 0.500).



10.
TbMgZn2 | PBE-GGA | relaxed

As for the electronic total energy: -9.7 eV/f.u. The spin magnetization is 0.00 μB per cell. As for the theoretical density: 6.2 g cm⁻³. Its formation energy from the elements is -234 meV/atom.

The structure belongs to space group P4/mmm (No. 123); the cell edges are 4.809, 4.809 and 3.629 Å and the angles 90.00°, 90.00° and 90.00°. Symmetry generates all atoms from Tb at (0.000, 0.000, 0.000), Mg at (0.500, 0.500, 0.000) and Zn at (0.000, 0.500, 0.500).



11.
PuInSnPb | PBE-GGA | relaxed

As for the electronic total energy: -25.8 eV/f.u. The spin magnetization is 5.57 μB per cell. As for the energy above the lowest structure with this stoichiometry: 0.000 eV/atom. As for the theoretical density: 10.8 g cm⁻³. Its formation energy from the elements is -245 meV/atom.

The structure belongs to space group Pmmm (No. 47); the cell edges are 4.586, 4.788 and 4.795 Å and the angles 90.00°, 90.00° and 90.00°. Symmetry generates all atoms from Pu at (0.000, 0.000, 0.000), In at (0.000, 0.500, 0.500), Sn at (0.500, 0.500, 0.000) and Pb at (0.500, 0.000, 0.500).



12.
CeNiB | PBE-GGA | relaxed

As for the electronic total energy: -18.6 eV/f.u. The spin magnetization is 0.00 μB per cell. As for the energy above the lowest structure with this stoichiometry: 0.248 eV/atom. As for the theoretical density: 8.6 g cm⁻³. Its formation energy from the elements is -54 meV/atom.

The structure belongs to space group I4mm (No. 107); the cell edges are 2.802, 2.802 and 10.365 Å and the angles 90.00°, 90.00° and 90.00°. Symmetry generates all atoms from Ce at (0.000, 0.000, 0.000), Ni at (0.000, 0.000, 0.275) and B at (0.000, 0.000, 0.705).



Which value of electronic total energy does entry 6 give?
-129.4 eV/f.u.